Arrangement one

First-principles (PBE) data for an optimized crystal structure of Mg2TaOs2, as listed in Alexandria via LeMat-Bulk.

Unit cell a=7.5208 b=7.5208 c=7.5208 alpha=153.62 beta=153.62 gamma=37.65
With the nearest neighbours (Å) after each atom.
Element x y z (fractional)
Mg 0.2500 0.7500 0.5000  4 Mg 2.43
Mg 0.7500 0.2500 0.5000  4 Mg 2.43
Ta 0.0000 0.0000 0.0000  8 Os 2.80
Os 0.4015 0.4015 0.0000  4 Mg 2.76, 4 Ta 2.80, 1 Os 2.81
Os 0.5985 0.5985 0.0000  4 Mg 2.76, 4 Ta 2.80, 1 Os 2.81

Summary:
Its space group is I4/mmm. For the spin magnetization, the calculation gives 0.00 μB/f.u. The value obtained for the density of states at the Fermi level is 5.74 states/eV/cell.



Arrangement two

First-principles (PBE) data for an optimized crystal structure of Mg2TaOs2, as listed in Alexandria via LeMat-Bulk.

Unit cell a=6.5205 b=6.5205 c=4.3561 alpha=90.00 beta=90.00 gamma=90.00
With the nearest neighbours (Å) after each atom.
Element x y z (fractional)
Mg 0.1710 0.3290 0.0000  6 Os 2.83-2.95, 1 Mg 3.15
Mg 0.3290 0.8290 0.0000  6 Os 2.83-2.95, 1 Mg 3.15
Mg 0.6710 0.1710 0.0000  6 Os 2.83-2.95, 1 Mg 3.15
Mg 0.8290 0.6710 0.0000  6 Os 2.83-2.95, 1 Mg 3.15
Ta 0.0000 0.0000 0.5000  4 Os 2.55
Ta 0.5000 0.5000 0.5000  4 Os 2.55
Os 0.1328 0.6328 0.5000  1 Os 2.45, 2 Ta 2.55
Os 0.3672 0.1328 0.5000  1 Os 2.45, 2 Ta 2.55
Os 0.6328 0.8672 0.5000  1 Os 2.45, 2 Ta 2.55
Os 0.8672 0.3672 0.5000  1 Os 2.45, 2 Ta 2.55

Summary:
Its space group is P4/mbm. For the spin magnetization, the calculation gives 0.00 μB/f.u. The value obtained for the density of states at the Fermi level is 8.57 states/eV/cell.



Which is the most stable structure? arrangement two is the most stable.



Arrangement one

First-principles (PBE) data for an optimized crystal structure of Mg3TaOs, as listed in Alexandria via LeMat-Bulk.

Unit cell a=4.8134 b=4.8134 c=4.8134 alpha=90.00 beta=90.00 gamma=90.00
With the nearest neighbours (Å) after each atom.
Element x y z (fractional)
Mg 0.0000 0.0000 0.5000  2 Os 2.41
Mg 0.0000 0.5000 0.0000  2 Os 2.41
Mg 0.5000 0.0000 0.0000  2 Os 2.41
Ta 0.5000 0.5000 0.5000  12 Mg 3.40
Os 0.0000 0.0000 0.0000  6 Mg 2.41

Summary:
Its space group is Pm-3m. For the spin magnetization, the calculation gives 0.00 μB/f.u. The value obtained for the density of states at the Fermi level is 4.99 states/eV/cell.



Arrangement two

First-principles (PBE) data for an optimized crystal structure of Mg3TaOs, as listed in Alexandria via LeMat-Bulk.

Unit cell a=5.1004 b=5.1004 c=5.1004 alpha=90.00 beta=90.00 gamma=90.00
With the nearest neighbours (Å) after each atom.
Element x y z (fractional)
Mg 0.0000 0.0000 0.5000  2 Ta 2.55
Mg 0.0000 0.5000 0.0000  2 Ta 2.55
Mg 0.5000 0.0000 0.0000  2 Ta 2.55
Ta 0.0000 0.0000 0.0000  6 Mg 2.55
Os 0.5000 0.5000 0.5000  12 Mg 3.61

Summary:
Its space group is Pm-3m. For the spin magnetization, the calculation gives 2.66 μB/f.u. The value obtained for the density of states at the Fermi level is 9.50 states/eV/cell.



Which is the most stable structure? arrangement one is the most stable.



Arrangement one

First-principles (PBE) data for an optimized crystal structure of Tb3MgOs, as listed in Alexandria via LeMat-Bulk.

Unit cell a=6.7889 b=4.9885 c=8.1570 alpha=90.00 beta=90.61 gamma=90.00
With the nearest neighbours (Å) after each atom.
Element x y z (fractional)
Tb 0.0079 0.2500 0.3521  3 Os 2.82-2.99
Tb 0.2412 0.7500 0.0554  1 Os 2.64
Tb 0.4853 0.2500 0.3512  3 Os 2.83-2.97
Tb 0.5147 0.7500 0.6488  3 Os 2.83-2.97
Tb 0.7588 0.2500 0.9446  1 Os 2.64
Tb 0.9921 0.7500 0.6479  3 Os 2.82-2.99
Mg 0.2569 0.2500 0.7743  6 Tb 3.22-3.39, 1 Os 3.59
Mg 0.7431 0.7500 0.2257  6 Tb 3.22-3.39, 1 Os 3.59
Os 0.2491 0.7500 0.3788  3 Tb 2.64-2.83
Os 0.7509 0.2500 0.6212  3 Tb 2.64-2.83

Summary:
Its space group is P2_1/m. For the spin magnetization, the calculation gives 0.00 μB/f.u. The value obtained for the density of states at the Fermi level is 10.28 states/eV/cell.



Arrangement two

First-principles (PBE) data for an optimized crystal structure of Tb3MgOs, as listed in Alexandria via LeMat-Bulk.

Unit cell a=5.4164 b=5.4164 c=5.4164 alpha=90.00 beta=90.00 gamma=90.00
With the nearest neighbours (Å) after each atom.
Element x y z (fractional)
Tb 0.0000 0.0000 0.5000  2 Os 2.71
Tb 0.0000 0.5000 0.0000  2 Os 2.71
Tb 0.5000 0.0000 0.0000  2 Os 2.71
Mg 0.5000 0.5000 0.5000  12 Tb 3.83
Os 0.0000 0.0000 0.0000  6 Tb 2.71

Summary:
Its space group is Pm-3m. For the spin magnetization, the calculation gives 0.00 μB/f.u. The value obtained for the density of states at the Fermi level is 2.44 states/eV/cell.



Which is the most stable structure? arrangement one is the most stable.



Arrangement one

First-principles (PBE) data for an optimized crystal structure of Tb4MgOs, as listed in Alexandria via LeMat-Bulk.

Unit cell a=8.1855 b=8.1855 c=8.1855 alpha=102.28 beta=102.28 gamma=125.07
With the nearest neighbours (Å) after each atom.
Element x y z (fractional)
Tb 0.1470 0.4642 0.6828  1 Os 2.81, 1 Mg 3.15
Tb 0.2142 0.0313 0.8172  1 Os 2.81, 1 Mg 3.15
Tb 0.2142 0.3970 0.1828  1 Os 2.81, 1 Mg 3.15
Tb 0.2557 0.0000 0.2557  2 Os 2.67-2.88, 1 Mg 2.93
Tb 0.7443 0.0000 0.7443  2 Os 2.67-2.88, 1 Mg 2.93
Tb 0.7500 0.5057 0.7557  2 Os 2.67-2.88, 1 Mg 2.93
Tb 0.7500 0.9943 0.2443  2 Os 2.67-2.88, 1 Mg 2.93
Tb 0.7813 0.4642 0.3172  1 Os 2.81, 1 Mg 3.15
Mg 0.2988 0.7988 0.5000  1 Os 2.93, 4 Tb 2.93-3.15
Mg 0.5488 0.5488 0.0000  1 Os 2.93, 4 Tb 2.93-3.15
Os 0.6872 0.1872 0.5000  6 Tb 2.67-2.88, 1 Mg 2.93
Os 0.9372 0.9372 0.0000  6 Tb 2.67-2.88, 1 Mg 2.93

Summary:
Its space group is I4_1md. For the spin magnetization, the calculation gives 0.00 μB/f.u. The value obtained for the density of states at the Fermi level is 13.51 states/eV/cell.



Arrangement two

First-principles (PBE) data for an optimized crystal structure of Tb4MgOs, as listed in Alexandria via LeMat-Bulk.

Unit cell a=9.7529 b=9.7529 c=9.7529 alpha=60.00 beta=60.00 gamma=60.00
With the nearest neighbours (Å) after each atom.
Element x y z (fractional)
Tb 0.1884 0.1884 0.8116  2 Os 2.79
Tb 0.1884 0.8116 0.1884  2 Os 2.79
Tb 0.1884 0.8116 0.8116  2 Os 2.79
Tb 0.3437 0.3437 0.3437  3 Os 2.85
Tb 0.3437 0.3437 0.9689  3 Os 2.85
Tb 0.3437 0.9689 0.3437  3 Os 2.85
Tb 0.5595 0.5595 0.9405  2 Mg 3.34, 2 Os 3.49, 10 Tb 3.49-3.72
Tb 0.5595 0.9405 0.5595  2 Mg 3.34, 2 Os 3.49, 10 Tb 3.49-3.72
Tb 0.5595 0.9405 0.9405  2 Mg 3.34, 2 Os 3.49, 10 Tb 3.49-3.72
Tb 0.8116 0.1884 0.1884  2 Os 2.79
Tb 0.8116 0.1884 0.8116  2 Os 2.79
Tb 0.8116 0.8116 0.1884  2 Os 2.79
Tb 0.9405 0.5595 0.5595  2 Mg 3.34, 2 Os 3.49, 10 Tb 3.49-3.72
Tb 0.9405 0.5595 0.9405  2 Mg 3.34, 2 Os 3.49, 10 Tb 3.49-3.72
Tb 0.9405 0.9405 0.5595  2 Mg 3.34, 2 Os 3.49, 10 Tb 3.49-3.72
Tb 0.9689 0.3437 0.3437  3 Os 2.85
Mg 0.2626 0.5791 0.5791  3 Mg 3.09, 3 Tb 3.34
Mg 0.5791 0.2626 0.5791  3 Mg 3.09, 3 Tb 3.34
Mg 0.5791 0.5791 0.2626  3 Mg 3.09, 3 Tb 3.34
Mg 0.5791 0.5791 0.5791  3 Mg 3.09, 3 Tb 3.34
Os 0.1386 0.1386 0.1386  6 Tb 2.79-2.85
Os 0.1386 0.1386 0.5841  6 Tb 2.79-2.85
Os 0.1386 0.5841 0.1386  6 Tb 2.79-2.85
Os 0.5841 0.1386 0.1386  6 Tb 2.79-2.85

Summary:
Its space group is F-43m. For the spin magnetization, the calculation gives 0.00 μB/f.u. The value obtained for the density of states at the Fermi level is 30.21 states/eV/cell.



Which is the most stable structure? arrangement two is the most stable.



Arrangement one

First-principles (PBE) data for an optimized crystal structure of TbTmMgOs, as listed in Alexandria via LeMat-Bulk.

Unit cell a=3.3896 b=3.3896 c=8.4334 alpha=90.00 beta=90.00 gamma=90.00
With the nearest neighbours (Å) after each atom.
Element x y z (fractional)
Tb 0.0000 0.0000 0.0000  4 Os 2.93
Tm 0.0000 0.0000 0.6086  4 Os 2.89
Mg 0.5000 0.5000 0.3089  4 Mg 3.39, 4 Tm 3.48, 4 Tb 3.54
Os 0.5000 0.5000 0.7994  4 Tm 2.89, 4 Tb 2.93

Summary:
Its space group is P4mm. For the spin magnetization, the calculation gives 0.00 μB/f.u. The value obtained for the density of states at the Fermi level is 2.59 states/eV/cell.



Arrangement two

First-principles (PBE) data for an optimized crystal structure of TbTmMgOs, as listed in Alexandria via LeMat-Bulk.

Unit cell a=4.9730 b=4.9730 c=4.9730 alpha=60.00 beta=60.00 gamma=60.00
With the nearest neighbours (Å) after each atom.
Element x y z (fractional)
Tb 0.0000 0.0000 0.0000  4 Mg 3.05, 4 Os 3.05
Tm 0.5000 0.5000 0.5000  4 Mg 3.05, 4 Os 3.05
Mg 0.7500 0.7500 0.7500  4 Tm 3.05, 4 Tb 3.05
Os 0.2500 0.2500 0.2500  4 Tm 3.05, 4 Tb 3.05

Summary:
Its space group is F-43m. For the spin magnetization, the calculation gives 0.00 μB/f.u. The value obtained for the density of states at the Fermi level is 3.35 states/eV/cell.



Which is the most stable structure? arrangement one is the most stable.



Arrangement one

First-principles (PBE) data for an optimized crystal structure of TbYMgOs, as listed in Alexandria via LeMat-Bulk.

Unit cell a=5.0124 b=5.0124 c=5.0124 alpha=60.00 beta=60.00 gamma=60.00
With the nearest neighbours (Å) after each atom.
Element x y z (fractional)
Tb 0.0000 0.0000 0.0000  4 Os 3.07, 4 Mg 3.07
Y 0.5000 0.5000 0.5000  4 Mg 3.07, 4 Os 3.07
Mg 0.2500 0.2500 0.2500  4 Y 3.07, 4 Tb 3.07
Os 0.7500 0.7500 0.7500  4 Y 3.07, 4 Tb 3.07

Summary:
Its space group is F-43m. For the spin magnetization, the calculation gives 0.00 μB/f.u. The value obtained for the density of states at the Fermi level is 3.20 states/eV/cell.



Arrangement two

First-principles (PBE) data for an optimized crystal structure of TbYMgOs, as listed in Alexandria via LeMat-Bulk.

Unit cell a=3.4524 b=3.4524 c=8.1543 alpha=90.00 beta=90.00 gamma=90.00
With the nearest neighbours (Å) after each atom.
Element x y z (fractional)
Tb 0.0000 0.0000 0.0000  4 Os 2.95
Y 0.0000 0.0000 0.4063  4 Os 2.95
Mg 0.5000 0.5000 0.7023  4 Y 3.43, 4 Tb 3.44, 4 Mg 3.45
Os 0.5000 0.5000 0.2024  4 Tb 2.95, 4 Y 2.95

Summary:
Its space group is P4mm. For the spin magnetization, the calculation gives 0.00 μB/f.u. The value obtained for the density of states at the Fermi level is 2.62 states/eV/cell.



Which is the most stable structure? arrangement two is the most stable.